First-principles (PBE) data for a relaxed structure of VInFe2Cl, as listed in Alexandria.

Lattice parameters (Å, degrees): 4.368 4.368 5.613 90.00 90.00 90.00
Space group P4/mmm (No. 123)
Symmetry-distinct sites (fractional):
V 0.000 0.000 0.000 x1
In 0.000 0.000 0.500 x1
Fe 0.000 0.500 0.000 x2
Cl 0.500 0.500 0.500 x1

Results
E_form (uncorrected) in eV per atom: 0.93
Uncorrected energy in eV/atom: -5.196
Fermi-level density of states in states/eV/atom: 1.14

First-principles (PBE) data for a relaxed structure of TbInAg, as listed in Alexandria.

Lattice parameters (Å, degrees): 8.599 11.502 13.012 90.00 90.00 90.00
Space group Fddd (No. 70, origin choice 2)
Symmetry-distinct sites (fractional):
Tb 0.000 0.000 0.000 x16
In 0.125 0.256 0.625 x16
Ag 0.125 0.125 0.445 x16

Results
Formation enthalpy at 0 K in meV per atom: -107
Uncorrected energy in eV/atom: -3.514
Fermi-level density of states in states/eV/atom: 0.67

Q: What is the uncorrected energy in the first record?
A: -5.196 eV/atom

Q: The lowest Fermi-level density of states belongs to which entry?
A: TbInAg

Q: Among the records above, which one has the highest Fermi-level density of states?
A: VInFe2Cl